Record 1
## CaIn2Sb (PBE)

Data for a geometry-optimized CaIn2Sb structure.

Calculated values
magnetic moment: 0.00 Bohr magnetons per cell
raw formation energy: -0.31 eV/atom
symmetry: Pm, No. 6

Geometry as POSCAR:
```
CaIn2Sb
1.0
3.451 0.000 0.000
0.000 4.986 0.000
-0.306 0.000 6.541
Ca In Sb
1 2 1
direct
0.000 0.000 0.000
0.236 0.000 0.498
0.587 0.500 0.285
0.492 0.500 0.800
```

Record 2
## PuHfSc2S4 (PBE)

Data for a geometry-optimized PuHfSc2S4 structure.

Calculated values
magnetic moment: 5.50 Bohr magnetons per cell
raw formation energy: -1.68 eV/atom
symmetry: P2/m, No. 10

Geometry as POSCAR:
```
PuHfSc2S4
1.0
6.437 0.000 0.000
0.000 3.711 0.000
-2.123 0.000 6.167
Pu Hf Sc S
1 1 2 4
direct
0.000 0.000 0.000
0.500 0.500 0.000
0.000 0.500 0.500
0.500 0.000 0.500
0.258 0.000 0.745
0.263 0.500 0.262
0.737 0.500 0.738
0.742 0.000 0.255
```

Record 3
## Zr4ZnH (PBE)

Data for a geometry-optimized Zr4ZnH structure.

Calculated values
magnetic moment: 0.00 Bohr magnetons per cell
final energy: -6.43 eV/atom
symmetry: I4_1/amd, No. 141

Geometry as POSCAR:
```
Zr4ZnH
1.0
-4.307 4.307 3.206
4.307 -4.307 3.206
4.307 4.307 -3.206
Zr Zn H
8 2 2
direct
0.236 0.281 0.544
0.236 0.692 0.956
0.281 0.236 0.044
0.308 0.764 0.544
0.692 0.236 0.456
0.719 0.764 0.956
0.764 0.308 0.044
0.764 0.719 0.456
0.125 0.875 0.250
0.875 0.125 0.750
0.375 0.625 0.750
0.625 0.375 0.250
```

Record 4
## ErPIr3 (PBE)

Data for a geometry-optimized ErPIr3 structure.

Calculated values
calculated formation energy: -3.9 eV/f.u.
magnetic moment: 0.00 Bohr magnetons per cell
symmetry: I4mm, No. 107

Geometry as POSCAR:
```
ErPIr3
1.0
-1.986 1.986 5.314
1.986 -1.986 5.314
1.986 1.986 -5.314
Er P Ir
1 1 3
direct
0.000 0.000 0.000
0.625 0.625 0.000
0.243 0.743 0.500
0.416 0.416 0.000
0.743 0.243 0.500
```